Entry 1:
Entry from Alexandria: a relaxed Ba2YP crystal (PBE-GGA).

Summary:
calculated total energy: -3.9577 eV/atom
DFT formation energy: -0.028 eV/atom

a = 4.9177 Å, b = 4.9177 Å, c = 11.0435 Å
α = 90.00°, β = 90.00°, γ = 90.00°
Space group I-4m2 (No. 119)
Unique sites:
Ba 0.0000 0.0000 0.0000 x2
Ba 0.0000 0.5000 0.2500 x2
Y 0.0000 0.0000 0.5000 x2
P 0.0000 0.5000 0.7500 x2

---

Entry 2:
Entry from Alexandria: a relaxed BaYP crystal (PBE-GGA).

Summary:
calculated total energy: -5.3142 eV/atom
DFT formation energy: -0.715 eV/atom
energy relative to the lowest polymorph listed for this composition: 0.093 eV/atom

a = 3.8415 Å, b = 3.8415 Å, c = 13.1744 Å
α = 90.00°, β = 90.00°, γ = 90.00°
Space group I4mm (No. 107)
Unique sites:
Ba 0.0000 0.0000 0.0000 x2
Y 0.0000 0.0000 0.2589 x2
P 0.0000 0.0000 0.6982 x2

---

Entry 3:
Entry from Alexandria: a relaxed Ba2YP crystal (PBE-GGA).

Summary:
calculated total energy: -4.5219 eV/atom
DFT formation energy: -0.592 eV/atom

a = 7.3901 Å, b = 4.2619 Å, c = 11.1564 Å
α = 90.00°, β = 102.73°, γ = 90.00°
Space group Cm (No. 8)
Unique sites:
Ba 0.0000 0.0000 0.0000 x2
Ba 0.2053 0.0000 0.6236 x2
Y 0.4364 0.0000 0.3155 x2
P 0.3081 0.5000 0.4314 x2

---

Entry 4:
Entry from Alexandria: a relaxed Ba2YP crystal (PBE-GGA).

Summary:
calculated total energy: -4.4319 eV/atom
DFT formation energy: -0.502 eV/atom

a = 3.9290 Å, b = 3.9290 Å, c = 9.9573 Å
α = 90.00°, β = 90.00°, γ = 90.00°
Space group P4mm (No. 99)
Unique sites:
Ba 0.0000 0.0000 0.0000 x1
Ba 0.5000 0.5000 0.3677 x1
Y 0.5000 0.5000 0.7063 x1
P 0.0000 0.0000 0.6458 x1

---

Entry 5:
Entry from Alexandria: a relaxed Ba2YP crystal (PBE-GGA).

Summary:
calculated total energy: -4.0158 eV/atom
DFT formation energy: -0.086 eV/atom

a = 4.8647 Å, b = 4.8647 Å, c = 5.2914 Å
α = 90.00°, β = 90.00°, γ = 90.00°
Space group P4/mmm (No. 123)
Unique sites:
Ba 0.0000 0.5000 0.0000 x2
Y 0.0000 0.0000 0.5000 x1
P 0.5000 0.5000 0.5000 x1

---

Entry 6:
Entry from Alexandria: a relaxed Ba3YP crystal (PBE-GGA).

Summary:
calculated total energy: -2.7092 eV/atom
DFT formation energy: 0.819 eV/atom
energy relative to the lowest polymorph listed for this composition: 0.953 eV/atom

a = 6.2078 Å, b = 6.2078 Å, c = 6.2078 Å
α = 90.00°, β = 90.00°, γ = 90.00°
Space group Pm-3m (No. 221)
Unique sites:
Ba 0.0000 0.0000 0.5000 x3
Y 0.0000 0.0000 0.0000 x1
P 0.5000 0.5000 0.5000 x1

---

Entry 7:
Entry from Alexandria: a relaxed BaYP crystal (PBE-GGA).

Summary:
calculated total energy: -5.1513 eV/atom
DFT formation energy: -0.552 eV/atom
energy relative to the lowest polymorph listed for this composition: 0.256 eV/atom

a = 7.1684 Å, b = 7.1684 Å, c = 7.1684 Å
α = 90.00°, β = 90.00°, γ = 90.00°
Space group F-43m (No. 216)
Unique sites:
Ba 0.0000 0.0000 0.0000 x4
Y 0.0000 0.0000 0.5000 x4
P 0.2500 0.2500 0.2500 x4

---

Entry 8:
Entry from Alexandria: a relaxed BaYP2 crystal (PBE-GGA).

Summary:
calculated total energy: -4.8223 eV/atom
DFT formation energy: -0.021 eV/atom
energy relative to the lowest polymorph listed for this composition: 1.070 eV/atom

a = 7.2264 Å, b = 7.2264 Å, c = 7.2264 Å
α = 90.00°, β = 90.00°, γ = 90.00°
Space group F-43m (No. 216)
Unique sites:
Ba 0.0000 0.0000 0.0000 x4
Y 0.2500 0.2500 0.2500 x4
P 0.0000 0.0000 0.5000 x4
P 0.2500 0.2500 0.7500 x4

---

Entry 9:
Entry from Alexandria: a relaxed Ba4YP crystal (PBE-GGA).

Summary:
calculated total energy: -2.6705 eV/atom
DFT formation energy: 0.590 eV/atom

a = 10.2342 Å, b = 10.2342 Å, c = 10.2342 Å
α = 90.00°, β = 90.00°, γ = 90.00°
Space group F-43m (No. 216)
Unique sites:
Ba 0.1239 0.1239 0.1239 x16
Y 0.0000 0.0000 0.5000 x4
P 0.2500 0.2500 0.7500 x4

---

Entry 10:
Entry from Alexandria: a relaxed BaYP2 crystal (PBE-GGA).

Summary:
calculated total energy: -5.8922 eV/atom
DFT formation energy: -1.091 eV/atom
energy relative to the lowest polymorph listed for this composition: 0.000 eV/atom

a = 4.2661 Å, b = 4.2661 Å, c = 21.6289 Å
α = 90.00°, β = 90.00°, γ = 120.00°
Space group R-3m (No. 166, hexagonal axes)
Unique sites:
Ba 0.0000 0.0000 0.0000 x3
Y 0.0000 0.0000 0.5000 x3
P 0.0000 0.0000 0.2349 x6

---

Entry 11:
Entry from Alexandria: a relaxed BaYP2 crystal (PBE-GGA).

Summary:
calculated total energy: -5.5555 eV/atom
DFT formation energy: -0.754 eV/atom
energy relative to the lowest polymorph listed for this composition: 0.337 eV/atom

a = 4.6641 Å, b = 6.0059 Å, c = 7.6716 Å
α = 90.00°, β = 90.00°, γ = 90.00°
Space group Immm (No. 71)
Unique sites:
Ba 0.0000 0.0000 0.0000 x2
Y 0.0000 0.0000 0.5000 x2
P 0.0000 0.5000 0.2231 x4

---

Entry 12:
Entry from Alexandria: a relaxed Ba2YP crystal (PBE-GGA).

Summary:
calculated total energy: -4.4014 eV/atom
DFT formation energy: -0.472 eV/atom

a = 5.4516 Å, b = 15.5206 Å, c = 4.4534 Å
α = 90.00°, β = 90.00°, γ = 90.00°
Space group Cmmm (No. 65)
Unique sites:
Ba 0.0000 0.1426 0.0000 x4
Y 0.0000 0.5000 0.5000 x2
P 0.0000 0.0000 0.5000 x2